[1]
First-principles (GGA-PBE) data for a geometry-optimized Na3Li7As4 structure, as listed in Alexandria.

a = 7.8589 Å, b = 7.8589 Å, c = 10.7613 Å
α = 130.91°, β = 130.91°, γ = 33.14°
Element x y z (fractional)
Na (0.0000, 0.0000, 0.0000)
Na (0.3025, 0.3025, 0.2418)
Na (0.6975, 0.6975, 0.7582)
Li (0.0000, 0.0000, 0.5000)
Li (0.1753, 0.1753, 0.3932)
Li (0.3300, 0.3300, 0.9922)
Li (0.4546, 0.4546, 0.6811)
Li (0.5454, 0.5454, 0.3189)
Li (0.6700, 0.6700, 0.0078)
Li (0.8247, 0.8247, 0.6068)
As (0.0781, 0.0781, 0.8001)
As (0.3023, 0.3023, 0.7203)
As (0.6977, 0.6977, 0.2797)
As (0.9219, 0.9219, 0.1999)

Results
Fermi-level density of states in states/eV/f.u.: 7.4
Magnetic moment in μB/cell: 0.0
Calculated density in g cm⁻³: 2.61
Formation energy in eV/f.u.: -7.0

***

[2]
First-principles (GGA-PBE) data for a geometry-optimized YCuS2 structure, as listed in Alexandria.

a = 6.3732 Å, b = 7.0198 Å, c = 6.7672 Å
α = 90.00°, β = 97.14°, γ = 90.00°
Element x y z (fractional)
Y (0.1934, 0.0478, 0.3009)
Y (0.1934, 0.4522, 0.8009)
Y (0.8066, 0.5478, 0.1991)
Y (0.8066, 0.9522, 0.6991)
Cu (0.4190, 0.6614, 0.4502)
Cu (0.4190, 0.8386, 0.9502)
Cu (0.5810, 0.1614, 0.0498)
Cu (0.5810, 0.3386, 0.5498)
S (0.0735, 0.7268, 0.4968)
S (0.0735, 0.7732, 0.9968)
S (0.4086, 0.1138, 0.7196)
S (0.4086, 0.3862, 0.2196)
S (0.5914, 0.6138, 0.7804)
S (0.5914, 0.8862, 0.2804)
S (0.9265, 0.2268, 0.0032)
S (0.9265, 0.2732, 0.5032)

Results
Magnetic moment in μB/cell: 0.0
Calculated density in g cm⁻³: 4.79
Energy relative to the elements, uncorrected in meV per atom: -1374.2

***

[3]
First-principles (GGA-PBE) data for a geometry-optimized PrThSe2N structure, as listed in Alexandria.

a = 4.1345 Å, b = 4.1345 Å, c = 15.1329 Å
α = 90.00°, β = 90.00°, γ = 90.00°
Element x y z (fractional)
Pr (0.2500, 0.2500, 0.1285)
Pr (0.7500, 0.7500, 0.8715)
Th (0.2500, 0.2500, 0.5759)
Th (0.7500, 0.7500, 0.4241)
Se (0.2500, 0.2500, 0.3113)
Se (0.2500, 0.2500, 0.9110)
Se (0.7500, 0.7500, 0.0890)
Se (0.7500, 0.7500, 0.6887)
N (0.2500, 0.7500, 0.5000)
N (0.7500, 0.2500, 0.5000)

Results
Fermi-level density of states in states/eV/f.u.: 1.9
Magnetic moment in μB/cell: 0.0
Calculated density in g cm⁻³: 7.00
Energy relative to the elements, uncorrected in meV per atom: -1835.0

***

no.,total DFT energy (no corrections) (eV/cell)
1,-42.96
2,-97.25
3,-73.34